Entry from Alexandria: SmErRh2 at its PBEsol-relaxed geometry (meta-GGA SCAN).

Values from the calculation:
Magnetic moment   0.00 Bohr magnetons per cell
Energy of formation   -933.0 meV per atom
DOS at the Fermi energy   0.5141 states/eV per atom
SG   Fm-3m

a = 4.797 Å, b = 4.797 Å, c = 4.797 Å
α = 60.00°, β = 60.00°, γ = 60.00°
Sites, in units of the cell vectors:
Sm 0.000 0.000 0.000
Er 0.500 0.500 0.500
Rh 0.250 0.250 0.250
Rh 0.750 0.750 0.750